No. 1
MgMo2, optimized geometry, DFT GGA-PBE; total magnetization = 3.317 μB per atom
1.0
-8.279 3.174 -1.982
-2.750 7.959 3.412
-0.916 7.208 -5.455
Mg Mo
2 4
direct
0.250 0.250 0.250
0.500 0.500 0.500
0.875 0.375 0.375
0.375 0.875 0.375
0.375 0.375 0.375
0.375 0.375 0.875


No. 2
Zr4GaSN2, optimized geometry, DFT GGA-PBE; total magnetization = 0.000 μB per atom
1.0
3.332 0.000 0.000
-1.666 2.885 0.000
0.000 0.000 13.028
Ga N S Zr
1 2 1 4
direct
0.333 0.667 0.000
0.000 0.000 0.261
0.000 0.000 0.739
0.667 0.333 0.500
0.667 0.333 0.169
0.333 0.667 0.360
0.333 0.667 0.640
0.667 0.333 0.831


No. 3
This record from OQMD describes AlAuBr2Cl2 after structural relaxation. The functional is GGA-PBE.

Cell and atoms, written as POSCAR:
```
AlAuBr2Cl2
1.0
-0.528 4.290 4.052
-6.230 -0.041 -1.059
2.793 -5.819 2.459
Al Au Br Cl
1 1 2 2
direct
0.731 0.290 0.494
0.482 0.345 0.008
0.925 0.430 0.315
0.033 0.127 0.706
0.426 0.965 0.238
0.652 0.593 0.739
```


No. 4
NaGaIr, optimized geometry, DFT GGA-PBE; total magnetization = 0.001 μB per atom
1.0
0.000 3.030 3.030
3.030 0.000 3.030
3.030 3.030 0.000
Ga Ir Na
1 1 1
direct
0.000 0.000 0.000
0.250 0.250 0.250
0.750 0.750 0.750


| no. | total energy (eV per atom) |
| --- | --- |
| 1 | -3.8763 |
| 2 | -8.6189 |
| 3 | -3.2391 |
| 4 | -4.1769 |